# 1
VASP calculation (GGA-PBE) on crystalline ScVMo4 at its relaxed geometry.

```
ScVMo4
1.0
-4.178 2.599 1.885
-3.629 -2.553 2.841
-0.420 0.916 5.172
Sc Mo V
1 4 1
direct
0.000 0.000 0.000
0.625 0.625 0.125
0.625 0.125 0.625
0.625 0.625 0.625
0.125 0.625 0.625
0.250 0.250 0.250
```

Computed properties:
The calculation puts the formation energy at 0.132 eV per atom. The electronic total energy is -57.98 eV per formula unit. The density of states at the Fermi level comes out at 4.5 states/eV/cell. The symmetry is No. 216.

# 2
VASP calculation (GGA-PBE) on crystalline MnHgBr2 at its relaxed geometry.

```
MnHgBr2
1.0
6.759 -0.005 0.021
2.107 6.423 -0.021
-3.111 -5.035 3.265
Br Hg Mn
2 1 1
direct
0.086 0.086 0.000
0.414 0.414 0.000
0.750 0.250 0.500
0.250 0.750 0.500
```

Computed properties:
The electronic total energy is -14.58 eV per formula unit. The symmetry is No. 71. The energy above the most stable polymorph in this dataset comes out at 0.127 eV per atom. The calculation puts the formation energy (no corrections) at -10.15 kcal/mol of atoms.

# 3
VASP calculation (GGA-PBE) on crystalline La4CuGe at its relaxed geometry.

```
La4CuGe
1.0
8.702 0.000 5.024
2.901 8.204 5.024
0.000 0.000 10.048
La Cu Ge
16 4 4
direct
0.366 0.366 0.366
0.901 0.366 0.366
0.366 0.901 0.366
0.366 0.366 0.901
0.562 0.562 0.938
0.938 0.938 0.562
0.562 0.938 0.562
0.938 0.562 0.938
0.938 0.562 0.562
0.562 0.938 0.938
0.203 0.203 0.797
0.797 0.797 0.203
0.203 0.797 0.203
0.797 0.203 0.797
0.797 0.203 0.203
0.203 0.797 0.797
0.145 0.145 0.145
0.564 0.145 0.145
0.145 0.564 0.145
0.145 0.145 0.564
0.597 0.597 0.597
0.209 0.597 0.597
0.597 0.209 0.597
0.597 0.597 0.209
```

Computed properties:
The calculation puts the formation energy at -0.270 eV per atom. The electronic total energy is -30.04 eV per formula unit. The density of states at the Fermi level comes out at 31.8 states/eV/cell. The symmetry is No. 216. The energy above the most stable polymorph in this dataset comes out at 0.000 eV per atom.

# 4
VASP calculation (GGA-PBE) on crystalline UInSbAu at its relaxed geometry.

```
UInSbAu
1.0
5.143 0.000 0.000
2.571 4.454 0.000
2.571 1.485 4.199
Au In U Sb
1 1 1 1
direct
0.750 0.750 0.750
0.500 0.500 0.500
0.000 0.000 0.000
0.250 0.250 0.250
```

Computed properties:
The electronic total energy is -21.65 eV per formula unit. The density of states at the Fermi level comes out at 6.1 states/eV/cell. The symmetry is No. 216. The calculation puts the formation energy (no corrections) at -1.31 kcal/mol of atoms.

# 5
VASP calculation (GGA-PBE) on crystalline Th2FeSe at its relaxed geometry.

```
Th2FeSe
1.0
3.972 0.000 0.000
1.986 3.440 0.000
0.000 0.000 7.386
Th Fe Se
2 1 1
direct
0.667 0.667 0.207
0.333 0.333 0.793
0.000 0.000 0.000
0.000 0.000 0.500
```

Computed properties:
The electronic total energy is -29.57 eV per formula unit. The density of states at the Fermi level comes out at 3.3 states/eV/cell. The symmetry is No. 164. The energy above the most stable polymorph in this dataset comes out at 0.097 eV per atom. The calculation puts the formation energy (no corrections) at -16.07 kcal/mol of atoms.

# 6
VASP calculation (GGA-PBE) on crystalline Rb2FeTc at its relaxed geometry.

```
Rb2FeTc
1.0
-12.886 -0.159 2.597
2.349 -6.353 11.266
-5.078 -1.302 7.994
Tc Rb Fe
2 4 2
direct
0.000 0.000 0.000
0.750 0.250 0.500
0.436 0.125 0.250
0.314 0.625 0.250
0.375 0.564 0.750
0.875 0.686 0.750
0.500 0.500 0.000
0.250 0.750 0.500
```

Computed properties:
The calculation puts the formation energy at 1.342 eV per atom. The electronic total energy is -15.40 eV per formula unit. The density of states at the Fermi level comes out at 10.3 states/eV/cell. The symmetry is No. 122. The energy above the most stable polymorph in this dataset comes out at 0.000 eV per atom.

Copy entry 6 word for word.
VASP calculation (GGA-PBE) on crystalline Rb2FeTc at its relaxed geometry.

```
Rb2FeTc
1.0
-12.886 -0.159 2.597
2.349 -6.353 11.266
-5.078 -1.302 7.994
Tc Rb Fe
2 4 2
direct
0.000 0.000 0.000
0.750 0.250 0.500
0.436 0.125 0.250
0.314 0.625 0.250
0.375 0.564 0.750
0.875 0.686 0.750
0.500 0.500 0.000
0.250 0.750 0.500
```

Computed properties:
The calculation puts the formation energy at 1.342 eV per atom. The electronic total energy is -15.40 eV per formula unit. The density of states at the Fermi level comes out at 10.3 states/eV/cell. The symmetry is No. 122. The energy above the most stable polymorph in this dataset comes out at 0.000 eV per atom.